NaSb2Br6: optimized geometry, PBE.

Lattice parameters (Å, degrees): 7.626 7.626 6.333 90.00 90.00 120.00
Atoms (fractional coordinates):
Na 0.000 0.000 0.000
Sb 0.333 0.667 0.500
Sb 0.667 0.333 0.500
Br 0.000 0.350 0.739
Br 0.000 0.650 0.261
Br 0.350 0.000 0.739
Br 0.350 0.350 0.261
Br 0.650 0.000 0.261
Br 0.650 0.650 0.739

Calculated values
The calculation puts the energy above the most stable polymorph in this dataset at 23 meV/atom. As for the space group: No. 162.


Mg2SiPt: optimized geometry, PBE.

Lattice parameters (Å, degrees): 2.974 2.974 26.679 90.00 90.00 120.00
Atoms (fractional coordinates):
Mg 0.000 0.000 0.246
Mg 0.000 0.000 0.754
Mg 0.333 0.667 0.420
Mg 0.333 0.667 0.913
Mg 0.667 0.333 0.087
Mg 0.667 0.333 0.580
Si 0.000 0.000 0.000
Si 0.333 0.667 0.667
Si 0.667 0.333 0.333
Pt 0.000 0.000 0.500
Pt 0.333 0.667 0.167
Pt 0.667 0.333 0.833

Calculated values
As for the space group: No. 166. The value obtained for the raw total energy is -0.14171 Ha/atom.


LiCaPt2: optimized geometry, PBE.

Lattice parameters (Å, degrees): 5.855 7.873 3.038 90.00 90.14 90.00
Atoms (fractional coordinates):
Li 0.000 0.000 0.000
Li 0.500 0.500 0.000
Ca 0.000 0.500 0.000
Ca 0.500 0.000 0.000
Pt 0.250 0.250 0.500
Pt 0.250 0.750 0.500
Pt 0.750 0.250 0.500
Pt 0.750 0.750 0.500

Calculated values
For the formation energy, the calculation gives -0.590 eV/atom. The calculation puts the energy above the most stable polymorph in this dataset at 71 meV/atom. As for the space group: No. 12.


Pr2Al4ZnPt3: optimized geometry, PBE.

Lattice parameters (Å, degrees): 4.310 4.310 10.521 90.00 90.00 90.00
Atoms (fractional coordinates):
Pr 0.000 0.500 0.249
Pr 0.500 0.000 0.751
Al 0.000 0.000 0.000
Al 0.000 0.500 0.631
Al 0.500 0.000 0.369
Al 0.500 0.500 0.000
Zn 0.000 0.000 0.500
Pt 0.000 0.500 0.870
Pt 0.500 0.000 0.130
Pt 0.500 0.500 0.500

Calculated values
For the formation energy, the calculation gives -0.959 eV/atom. As for the space group: No. 115.


TaTi2Fe3: optimized geometry, PBE.

Lattice parameters (Å, degrees): 2.995 2.995 8.963 90.00 90.00 90.00
Atoms (fractional coordinates):
Ta 0.000 0.000 0.000
Ti 0.000 0.000 0.337
Ti 0.000 0.000 0.663
Fe 0.500 0.500 0.172
Fe 0.500 0.500 0.500
Fe 0.500 0.500 0.828

Calculated values
For the formation energy, the calculation gives -0.315 eV/atom. As for the space group: No. 123.


Tm4Rh6O19: optimized geometry, PBE.

Lattice parameters (Å, degrees): 7.743 7.743 7.743 109.47 109.47 109.47
Atoms (fractional coordinates):
Tm 0.000 0.000 0.292
Tm 0.000 0.292 0.000
Tm 0.292 0.000 0.000
Tm 0.708 0.708 0.708
Rh 0.161 0.500 0.661
Rh 0.339 0.839 0.500
Rh 0.500 0.339 0.839
Rh 0.500 0.661 0.161
Rh 0.661 0.161 0.500
Rh 0.839 0.500 0.339
O 0.000 0.000 0.000
O 0.000 0.336 0.336
O 0.000 0.664 0.664
O 0.035 0.745 0.348
O 0.255 0.289 0.603
O 0.289 0.603 0.255
O 0.313 0.711 0.965
O 0.336 0.000 0.336
O 0.336 0.336 0.000
O 0.348 0.035 0.745
O 0.397 0.687 0.652
O 0.603 0.255 0.289
O 0.652 0.397 0.687
O 0.664 0.000 0.664
O 0.664 0.664 0.000
O 0.687 0.652 0.397
O 0.711 0.965 0.313
O 0.745 0.348 0.035
O 0.965 0.313 0.711

Calculated values
As for the space group: No. 197. The value obtained for the raw total energy is -0.25687 Ha/atom.


Sr3Pa3ZnN8: optimized geometry, PBE.

Lattice parameters (Å, degrees): 7.110 7.110 7.198 119.25 119.25 58.37
Atoms (fractional coordinates):
Sr 0.000 0.000 0.000
Sr 0.000 0.500 0.000
Sr 0.500 0.000 0.000
Pa 0.000 0.500 0.500
Pa 0.500 0.000 0.500
Pa 0.500 0.500 0.500
Zn 0.000 0.000 0.500
N 0.230 0.732 0.686
N 0.254 0.254 0.698
N 0.265 0.265 0.292
N 0.268 0.770 0.314
N 0.732 0.230 0.686
N 0.735 0.735 0.708
N 0.746 0.746 0.302
N 0.770 0.268 0.314

Calculated values
As for the space group: No. 12. The value obtained for the raw total energy is -0.28475 Ha/atom.


CdTc2Mo: optimized geometry, PBE.

Lattice parameters (Å, degrees): 2.811 2.811 8.237 90.00 90.00 90.00
Atoms (fractional coordinates):
Cd 0.000 0.000 0.000
Tc 0.000 0.000 0.518
Tc 0.500 0.500 0.729
Mo 0.500 0.500 0.279

Calculated values
For the formation energy, the calculation gives 0.256 eV/atom. As for the space group: No. 99.


Na2SbTe: optimized geometry, PBE.

Lattice parameters (Å, degrees): 8.720 8.720 6.262 90.00 90.00 90.00
Atoms (fractional coordinates):
Na 0.239 0.250 0.125
Na 0.250 0.739 0.375
Na 0.250 0.761 0.875
Na 0.261 0.250 0.625
Na 0.739 0.750 0.625
Na 0.750 0.239 0.875
Na 0.750 0.261 0.375
Na 0.761 0.750 0.125
Sb 0.000 0.000 0.500
Sb 0.000 0.500 0.750
Sb 0.500 0.000 0.250
Sb 0.500 0.500 0.000
Te 0.000 0.000 0.000
Te 0.000 0.500 0.250
Te 0.500 0.000 0.750
Te 0.500 0.500 0.500

Calculated values
The calculation puts the energy above the most stable polymorph in this dataset at 18 meV/atom. As for the space group: No. 122.


Mg5Tc: optimized geometry, PBE.

Lattice parameters (Å, degrees): 5.766 5.766 5.766 53.73 53.73 53.73
Atoms (fractional coordinates):
Mg 0.000 0.646 0.354
Mg 0.161 0.161 0.161
Mg 0.354 0.000 0.646
Mg 0.646 0.354 0.000
Mg 0.839 0.839 0.839
Tc 0.500 0.500 0.500

Calculated values
For the formation energy, the calculation gives 0.172 eV/atom. The calculation puts the energy above the most stable polymorph in this dataset at 42 meV/atom. As for the space group: No. 155.


ZrV2ZnFe: optimized geometry, PBE.

Lattice parameters (Å, degrees): 4.512 4.512 4.931 90.00 90.00 90.00
Atoms (fractional coordinates):
Zr 0.000 0.000 0.000
V 0.000 0.500 0.000
V 0.500 0.000 0.000
Zn 0.000 0.000 0.500
Fe 0.500 0.500 0.500

Calculated values
For the formation energy, the calculation gives 2.002 eV/atom. As for the space group: No. 123.


NdDy2ScSe4: optimized geometry, PBE.

Lattice parameters (Å, degrees): 7.017 4.026 7.159 90.00 108.89 90.00
Atoms (fractional coordinates):
Nd 0.000 0.000 0.000
Dy 0.500 0.000 0.500
Dy 0.500 0.500 0.000
Sc 0.000 0.500 0.500
Se 0.245 0.000 0.736
Se 0.254 0.500 0.264
Se 0.746 0.500 0.736
Se 0.755 0.000 0.264

Calculated values
As for the space group: No. 10. The value obtained for the raw total energy is -0.21999 Ha/atom.


HoTlZnCu: optimized geometry, PBE.

Lattice parameters (Å, degrees): 6.816 6.816 6.816 90.00 90.00 90.00
Atoms (fractional coordinates):
Ho 0.000 0.000 0.000
Ho 0.000 0.500 0.500
Ho 0.500 0.000 0.500
Ho 0.500 0.500 0.000
Tl 0.000 0.000 0.500
Tl 0.000 0.500 0.000
Tl 0.500 0.000 0.000
Tl 0.500 0.500 0.500
Zn 0.250 0.250 0.750
Zn 0.250 0.750 0.250
Zn 0.750 0.250 0.250
Zn 0.750 0.750 0.750
Cu 0.250 0.250 0.250
Cu 0.250 0.750 0.750
Cu 0.750 0.250 0.750
Cu 0.750 0.750 0.250

Calculated values
For the formation energy, the calculation gives -0.149 eV/atom. As for the space group: No. 216.


TaCu4P: optimized geometry, PBE.

Lattice parameters (Å, degrees): 4.851 4.851 4.851 60.00 60.00 60.00
Atoms (fractional coordinates):
Ta 0.000 0.000 0.000
Cu 0.375 0.375 0.375
Cu 0.375 0.375 0.875
Cu 0.375 0.875 0.375
Cu 0.875 0.375 0.375
P 0.750 0.750 0.750

Calculated values
For the formation energy, the calculation gives 0.296 eV/atom. As for the space group: No. 216.


Pr3Np: optimized geometry, PBE.

Lattice parameters (Å, degrees): 5.111 5.111 5.111 90.00 90.00 90.00
Atoms (fractional coordinates):
Pr 0.000 0.000 0.500
Pr 0.000 0.500 0.000
Pr 0.500 0.000 0.000
Np 0.500 0.500 0.500

Calculated values
For the formation energy, the calculation gives 0.412 eV/atom. As for the space group: No. 221.


ReWSe2: optimized geometry, PBE.

Lattice parameters (Å, degrees): 3.020 5.462 8.300 90.00 90.00 90.00
Atoms (fractional coordinates):
Re 0.000 0.000 0.000
Re 0.500 0.500 0.000
W 0.000 0.000 0.500
W 0.500 0.500 0.500
Se 0.000 0.500 0.247
Se 0.000 0.500 0.753
Se 0.500 0.000 0.247
Se 0.500 0.000 0.753

Calculated values
The calculation puts the energy above the most stable polymorph in this dataset at 966 meV/atom. As for the space group: No. 65.


Na3AgRh: optimized geometry, PBE.

Lattice parameters (Å, degrees): 5.333 5.333 5.333 90.00 90.00 90.00
Atoms (fractional coordinates):
Na 0.000 0.000 0.500
Na 0.000 0.500 0.000
Na 0.500 0.000 0.000
Ag 0.500 0.500 0.500
Rh 0.000 0.000 0.000

Calculated values
For the formation energy, the calculation gives 0.637 eV/atom. The calculation puts the energy above the most stable polymorph in this dataset at 0 meV/atom. As for the space group: No. 221.


Tl3Pb2: optimized geometry, PBE.

Lattice parameters (Å, degrees): 3.575 3.575 42.246 90.00 90.00 120.00
Atoms (fractional coordinates):
Tl 0.000 0.000 0.000
Tl 0.000 0.000 0.400
Tl 0.000 0.000 0.600
Tl 0.333 0.667 0.067
Tl 0.333 0.667 0.267
Tl 0.333 0.667 0.667
Tl 0.667 0.333 0.333
Tl 0.667 0.333 0.733
Tl 0.667 0.333 0.933
Pb 0.000 0.000 0.199
Pb 0.000 0.000 0.801
Pb 0.333 0.667 0.467
Pb 0.333 0.667 0.866
Pb 0.667 0.333 0.134
Pb 0.667 0.333 0.533

Calculated values
For the formation energy, the calculation gives -0.005 eV/atom. The calculation puts the energy above the most stable polymorph in this dataset at 0 meV/atom. As for the space group: No. 166.


BaScPt2Br: optimized geometry, PBE.

Lattice parameters (Å, degrees): 5.082 5.082 5.304 90.00 90.00 90.00
Atoms (fractional coordinates):
Ba 0.000 0.000 0.000
Sc 0.500 0.500 0.500
Pt 0.000 0.500 0.500
Pt 0.500 0.000 0.500
Br 0.500 0.500 0.000

Calculated values
As for the space group: No. 123. The value obtained for the raw total energy is -0.19247 Ha/atom.


PmEuAgHg: optimized geometry, PBE.

Lattice parameters (Å, degrees): 7.336 7.336 7.336 90.00 90.00 90.00
Atoms (fractional coordinates):
Pm 0.000 0.000 0.000
Pm 0.000 0.500 0.500
Pm 0.500 0.000 0.500
Pm 0.500 0.500 0.000
Eu 0.250 0.250 0.750
Eu 0.250 0.750 0.250
Eu 0.750 0.250 0.250
Eu 0.750 0.750 0.750
Ag 0.250 0.250 0.250
Ag 0.250 0.750 0.750
Ag 0.750 0.250 0.750
Ag 0.750 0.750 0.250
Hg 0.000 0.000 0.500
Hg 0.000 0.500 0.000
Hg 0.500 0.000 0.000
Hg 0.500 0.500 0.500

Calculated values
For the formation energy, the calculation gives -0.195 eV/atom. As for the space group: No. 216.